i | DFT (SCAN) results for a PBEsol-optimized structure of BaCa3Cu.

CIF file:
```
data_BaCa3Cu
_chemical_formula_sum 'Ba1 Ca3 Cu1'
_symmetry_space_group_name_H-M 'P m -3 m'
_symmetry_Int_Tables_number 221
_symmetry_space_group_name_Hall '-P 4 2 3'
_cell_length_a 5.649
_cell_length_b 5.649
_cell_length_c 5.649
_cell_angle_alpha 90.00
_cell_angle_beta 90.00
_cell_angle_gamma 90.00
loop_
_atom_site_label
_atom_site_fract_x
_atom_site_fract_y
_atom_site_fract_z
_atom_site_occupancy
Ba1 0.000 0.000 0.000 1
Ca1 0.000 0.000 0.500 1
Cu1 0.500 0.500 0.500 1
```

***

ii | DFT (SCAN) results for a PBEsol-optimized structure of BaCa3Cu.

CIF file:
```
data_BaCa3Cu
_chemical_formula_sum 'Ba1 Ca3 Cu1'
_symmetry_space_group_name_H-M 'P m -3 m'
_symmetry_Int_Tables_number 221
_symmetry_space_group_name_Hall '-P 4 2 3'
_cell_length_a 5.734
_cell_length_b 5.734
_cell_length_c 5.734
_cell_angle_alpha 90.00
_cell_angle_beta 90.00
_cell_angle_gamma 90.00
loop_
_atom_site_label
_atom_site_fract_x
_atom_site_fract_y
_atom_site_fract_z
_atom_site_occupancy
Ba1 0.000 0.000 0.000 1
Ca1 0.000 0.500 0.500 1
Cu1 0.500 0.500 0.500 1
```

***

In terms of stability, ii leads; the second structure lies 136.3 kJ/mol of atoms higher.

***

i | DFT (SCAN) results for a PBEsol-optimized structure of Ba2CaH2.

CIF file:
```
data_Ba2CaH2
_chemical_formula_sum 'Ba4 Ca2 H4'
_symmetry_space_group_name_H-M 'P 4/m b m'
_symmetry_Int_Tables_number 127
_symmetry_space_group_name_Hall '-P 4 2ab'
_cell_length_a 8.022
_cell_length_b 8.022
_cell_length_c 4.245
_cell_angle_alpha 90.00
_cell_angle_beta 90.00
_cell_angle_gamma 90.00
loop_
_atom_site_label
_atom_site_fract_x
_atom_site_fract_y
_atom_site_fract_z
_atom_site_occupancy
Ba1 0.168 0.332 0.000 1
Ca1 0.000 0.000 0.500 1
H1 0.175 0.675 0.500 1
```

***

ii | DFT (SCAN) results for a PBEsol-optimized structure of Ba2CaH2.

CIF file:
```
data_Ba2CaH2
_chemical_formula_sum 'Ba4 Ca2 H4'
_symmetry_space_group_name_H-M 'I 4/m m m'
_symmetry_Int_Tables_number 139
_symmetry_space_group_name_Hall '-I 4 2'
_cell_length_a 4.302
_cell_length_b 4.302
_cell_length_c 17.937
_cell_angle_alpha 90.00
_cell_angle_beta 90.00
_cell_angle_gamma 90.00
loop_
_atom_site_label
_atom_site_fract_x
_atom_site_fract_y
_atom_site_fract_z
_atom_site_occupancy
Ba1 0.000 0.000 0.171 1
Ca1 0.000 0.000 0.500 1
H1 0.000 0.500 0.250 1
```

***

In terms of stability, ii leads; the second structure lies 31.8 kJ/mol of atoms higher.

***

i | DFT (SCAN) results for a PBEsol-optimized structure of BaCa2Hg2.

CIF file:
```
data_BaCa2Hg2
_chemical_formula_sum 'Ba2 Ca4 Hg4'
_symmetry_space_group_name_H-M 'P 4/m b m'
_symmetry_Int_Tables_number 127
_symmetry_space_group_name_Hall '-P 4 2ab'
_cell_length_a 8.641
_cell_length_b 8.641
_cell_length_c 4.297
_cell_angle_alpha 90.00
_cell_angle_beta 90.00
_cell_angle_gamma 90.00
loop_
_atom_site_label
_atom_site_fract_x
_atom_site_fract_y
_atom_site_fract_z
_atom_site_occupancy
Ba1 0.000 0.000 0.000 1
Ca1 0.156 0.344 0.500 1
Hg1 0.131 0.631 0.000 1
```

***

ii | DFT (SCAN) results for a PBEsol-optimized structure of BaCa2Hg2.

CIF file:
```
data_BaCa2Hg2
_chemical_formula_sum 'Ba2 Ca4 Hg4'
_symmetry_space_group_name_H-M 'I 4/m m m'
_symmetry_Int_Tables_number 139
_symmetry_space_group_name_Hall '-I 4 2'
_cell_length_a 5.051
_cell_length_b 5.051
_cell_length_c 13.337
_cell_angle_alpha 90.00
_cell_angle_beta 90.00
_cell_angle_gamma 90.00
loop_
_atom_site_label
_atom_site_fract_x
_atom_site_fract_y
_atom_site_fract_z
_atom_site_occupancy
Ba1 0.000 0.000 0.000 1
Ca1 0.000 0.500 0.250 1
Hg1 0.000 0.000 0.393 1
```

***

In terms of stability, i leads; the second structure lies 2.3 kJ/mol of atoms higher.

***

i | DFT (SCAN) results for a PBEsol-optimized structure of BaCaI4.

CIF file:
```
data_BaCaI4
_chemical_formula_sum 'Ba3 Ca3 I12'
_symmetry_space_group_name_H-M 'R -3 m'
_symmetry_Int_Tables_number 166
_symmetry_space_group_name_Hall '-R 3 2"'
_cell_length_a 5.6450
_cell_length_b 5.6450
_cell_length_c 27.0890
_cell_angle_alpha 90.00
_cell_angle_beta 90.00
_cell_angle_gamma 120.00
loop_
_atom_site_label
_atom_site_fract_x
_atom_site_fract_y
_atom_site_fract_z
_atom_site_occupancy
Ba1 0.0000 0.0000 0.0000 1
Ca1 0.0000 0.0000 0.5000 1
I1 0.0000 0.0000 0.1311 1
I2 0.0000 0.0000 0.3808 1
```

***

ii | DFT (SCAN) results for a PBEsol-optimized structure of BaCaI4.

CIF file:
```
data_BaCaI4
_chemical_formula_sum 'Ba4 Ca4 I16'
_symmetry_space_group_name_H-M 'C 1 2/c 1'
_symmetry_Int_Tables_number 15
_cell_length_a 10.252
_cell_length_b 14.735
_cell_length_c 7.539
_cell_angle_alpha 90.00
_cell_angle_beta 123.48
_cell_angle_gamma 90.00
loop_
_symmetry_equiv_pos_as_xyz
'x,y,z'
'-x,-y,-z'
'-x,y,-z+1/2'
'x,-y,z+1/2'
'x+1/2,y+1/2,z'
'-x+1/2,-y+1/2,-z'
'-x+1/2,y+1/2,-z+1/2'
'x+1/2,-y+1/2,z+1/2'
loop_
_atom_site_label
_atom_site_fract_x
_atom_site_fract_y
_atom_site_fract_z
_atom_site_occupancy
Ba1 0.000 0.135 0.250 1
Ca1 0.000 0.499 0.250 1
I1 0.112 0.328 0.581 1
I2 0.207 0.062 0.780 1
```

***

iii | DFT (SCAN) results for a PBEsol-optimized structure of BaCaI4.

CIF file:
```
data_BaCaI4
_chemical_formula_sum 'Ba2 Ca2 I8'
_symmetry_space_group_name_H-M 'A m m 2'
_symmetry_Int_Tables_number 38
_cell_length_a 4.848
_cell_length_b 10.897
_cell_length_c 10.851
_cell_angle_alpha 90.00
_cell_angle_beta 90.00
_cell_angle_gamma 90.00
loop_
_symmetry_equiv_pos_as_xyz
'x,y,z'
'-x,-y,z'
'-x,y,z'
'x,-y,z'
'x,y+1/2,z+1/2'
'-x,-y+1/2,z+1/2'
'-x,y+1/2,z+1/2'
'x,-y+1/2,z+1/2'
loop_
_atom_site_label
_atom_site_fract_x
_atom_site_fract_y
_atom_site_fract_z
_atom_site_occupancy
Ba1 0.000 0.000 0.000 1
Ca1 0.500 0.000 0.500 1
I1 0.000 0.000 0.315 1
I2 0.000 0.000 0.684 1
I3 0.500 0.216 0.998 1
```

***

In terms of stability, iii leads; the second structure lies 0.6 kJ/mol of atoms higher.

***

i | DFT (SCAN) results for a PBEsol-optimized structure of BaCaI4.

CIF file:
```
data_BaCaI4
_chemical_formula_sum 'Ba4 Ca4 I16'
_symmetry_space_group_name_H-M 'P b c m'
_symmetry_Int_Tables_number 57
_cell_length_a 7.795
_cell_length_b 11.019
_cell_length_c 11.414
_cell_angle_alpha 90.00
_cell_angle_beta 90.00
_cell_angle_gamma 90.00
loop_
_symmetry_equiv_pos_as_xyz
'x,y,z'
'-x,-y,-z'
'-x,-y,z+1/2'
'x,y,-z+1/2'
'x,-y+1/2,-z'
'-x,y+1/2,z'
'-x,y+1/2,-z+1/2'
'x,-y+1/2,z+1/2'
loop_
_atom_site_label
_atom_site_fract_x
_atom_site_fract_y
_atom_site_fract_z
_atom_site_occupancy
Ba1 0.036 0.163 0.250 1
Ca1 0.500 0.000 0.000 1
I1 0.158 0.599 0.584 1
I2 0.308 0.250 0.000 1
I3 0.371 0.546 0.250 1
```

***

ii | DFT (SCAN) results for a PBEsol-optimized structure of BaCaI4.

CIF file:
```
data_BaCaI4
_chemical_formula_sum 'Ba4 Ca4 I16'
_symmetry_space_group_name_H-M 'C m c 21'
_symmetry_Int_Tables_number 36
_cell_length_a 6.033
_cell_length_b 21.760
_cell_length_c 7.945
_cell_angle_alpha 90.00
_cell_angle_beta 90.00
_cell_angle_gamma 90.00
loop_
_symmetry_equiv_pos_as_xyz
'x,y,z'
'-x,-y,z+1/2'
'-x,y,z'
'x,-y,z+1/2'
'x+1/2,y+1/2,z'
'-x+1/2,-y+1/2,z+1/2'
'-x+1/2,y+1/2,z'
'x+1/2,-y+1/2,z+1/2'
loop_
_atom_site_label
_atom_site_fract_x
_atom_site_fract_y
_atom_site_fract_z
_atom_site_occupancy
Ba1 0.000 0.171 0.000 1
Ca1 0.000 0.410 0.915 1
I1 0.000 0.102 0.400 1
I2 0.000 0.289 0.704 1
I3 0.000 0.323 0.221 1
I4 0.000 0.458 0.547 1
```

***

iii | DFT (SCAN) results for a PBEsol-optimized structure of BaCaI4.

CIF file:
```
data_BaCaI4
_chemical_formula_sum 'Ba2 Ca2 I8'
_symmetry_space_group_name_H-M 'P 1 2/c 1'
_symmetry_Int_Tables_number 13
_cell_length_a 7.837
_cell_length_b 8.158
_cell_length_c 8.148
_cell_angle_alpha 90.00
_cell_angle_beta 101.66
_cell_angle_gamma 90.00
loop_
_symmetry_equiv_pos_as_xyz
'x,y,z'
'-x,-y,-z'
'-x,y,-z+1/2'
'x,-y,z+1/2'
loop_
_atom_site_label
_atom_site_fract_x
_atom_site_fract_y
_atom_site_fract_z
_atom_site_occupancy
Ba1 0.000 0.230 0.250 1
Ca1 0.500 0.337 0.750 1
I1 0.248 0.438 0.987 1
I2 0.254 0.063 0.600 1
```

***

In terms of stability, iii leads; the second structure lies 2.8 kJ/mol of atoms higher.

***

i | DFT (SCAN) results for a PBEsol-optimized structure of BaCaI4.

CIF file:
```
data_BaCaI4
_chemical_formula_sum 'Ba4 Ca4 I16'
_symmetry_space_group_name_H-M 'I 41/a'
_symmetry_Int_Tables_number 88
_cell_length_a 7.956
_cell_length_b 7.956
_cell_length_c 16.283
_cell_angle_alpha 90.00
_cell_angle_beta 90.00
_cell_angle_gamma 90.00
loop_
_symmetry_equiv_pos_as_xyz
'x,y,z'
'-x,-y,-z'
'-y+3/4,x+1/4,z+1/4'
'y+3/4,-x+1/4,-z+1/4'
'-x+1/2,-y,z+1/2'
'x+1/2,y,-z+1/2'
'y+3/4,-x+3/4,z+3/4'
'-y+3/4,x+3/4,-z+3/4'
'x+1/2,y+1/2,z+1/2'
'-x+1/2,-y+1/2,-z+1/2'
'-y+1/4,x+3/4,z+3/4'
'y+1/4,-x+3/4,-z+3/4'
'-x,-y+1/2,z'
'x,y+1/2,-z'
'y+1/4,-x+1/4,z+1/4'
'-y+1/4,x+1/4,-z+1/4'
loop_
_atom_site_label
_atom_site_fract_x
_atom_site_fract_y
_atom_site_fract_z
_atom_site_occupancy
Ba1 0.000 0.250 0.125 1
Ca1 0.000 0.250 0.625 1
I1 0.208 0.497 0.727 1
```

***

ii | DFT (SCAN) results for a PBEsol-optimized structure of BaCaI4.

CIF file:
```
data_BaCaI4
_chemical_formula_sum 'Ba4 Ca4 I16'
_symmetry_space_group_name_H-M 'P b c n'
_symmetry_Int_Tables_number 60
_cell_length_a 7.479
_cell_length_b 18.852
_cell_length_c 7.893
_cell_angle_alpha 90.00
_cell_angle_beta 90.00
_cell_angle_gamma 90.00
loop_
_symmetry_equiv_pos_as_xyz
'x,y,z'
'-x,-y,-z'
'-x+1/2,-y+1/2,z+1/2'
'x+1/2,y+1/2,-z+1/2'
'x+1/2,-y+1/2,-z'
'-x+1/2,y+1/2,z'
'-x,y,-z+1/2'
'x,-y,z+1/2'
loop_
_atom_site_label
_atom_site_fract_x
_atom_site_fract_y
_atom_site_fract_z
_atom_site_occupancy
Ba1 0.000 0.175 0.250 1
Ca1 0.000 0.435 0.250 1
I1 0.239 0.453 0.567 1
I2 0.244 0.316 0.110 1
```

***

In terms of stability, ii leads; the second structure lies 3.7 kJ/mol of atoms higher.